Entry 1:
DFT (GGA-PBE) results for an optimized crystal structure of AgTeP2.

Values from the calculation:
Density of states at the Fermi level: 0.39 states/eV per atom
Total magnetic moment: 0.00 μB/f.u.
E: -14.897 eV/cell
Formation energy from raw total energies: 0.479 eV per atom

```
data_AgTeP2
_symmetry_space_group_name_H-M 'P 1'
_symmetry_Int_Tables_number 1
_cell_length_a 3.4087
_cell_length_b 4.1110
_cell_length_c 6.1111
_cell_angle_alpha 90.00
_cell_angle_beta 90.00
_cell_angle_gamma 90.00
loop_
_symmetry_equiv_pos_as_xyz
'x,y,z'
loop_
_atom_site_label
_atom_site_type_symbol
_atom_site_fract_x
_atom_site_fract_y
_atom_site_fract_z
_atom_site_occupancy
P1 P 0.0000 0.0000 0.5792 1
P2 P 0.0000 0.0000 0.9208 1
Ag1 Ag 0.5000 0.5000 0.7500 1
Te1 Te 0.5000 0.5000 0.2500 1
```

=====

Entry 2:
DFT (GGA-PBE) results for an optimized crystal structure of AgTe3P.

Values from the calculation:
Density of states at the Fermi level: 1.34 states/eV per atom
Total magnetic moment: 0.00 μB/f.u.
E: -12.706 eV/cell
Formation energy from raw total energies: 0.996 eV per atom
ΔE to the lowest computed polymorph: 0.459 eV/atom

```
data_AgTe3P
_symmetry_space_group_name_H-M 'P 1'
_symmetry_Int_Tables_number 1
_cell_length_a 5.3591
_cell_length_b 5.3591
_cell_length_c 5.3591
_cell_angle_alpha 90.00
_cell_angle_beta 90.00
_cell_angle_gamma 90.00
loop_
_symmetry_equiv_pos_as_xyz
'x,y,z'
loop_
_atom_site_label
_atom_site_type_symbol
_atom_site_fract_x
_atom_site_fract_y
_atom_site_fract_z
_atom_site_occupancy
P1 P 0.5000 0.5000 0.5000 1
Te1 Te 0.5000 0.0000 0.0000 1
Te2 Te 0.0000 0.5000 0.0000 1
Te3 Te 0.0000 0.0000 0.5000 1
Ag1 Ag 0.0000 0.0000 0.0000 1
```

=====

Entry 3:
DFT (GGA-PBE) results for an optimized crystal structure of AgTeP2.

Values from the calculation:
Density of states at the Fermi level: 0.44 states/eV per atom
Total magnetic moment: 0.00 μB/f.u.
E: -16.090 eV/cell
Formation energy from raw total energies: 0.181 eV per atom

```
data_AgTeP2
_symmetry_space_group_name_H-M 'P 1'
_symmetry_Int_Tables_number 1
_cell_length_a 3.7557
_cell_length_b 4.8907
_cell_length_c 4.9548
_cell_angle_alpha 76.75
_cell_angle_beta 90.00
_cell_angle_gamma 90.00
loop_
_symmetry_equiv_pos_as_xyz
'x,y,z'
loop_
_atom_site_label
_atom_site_type_symbol
_atom_site_fract_x
_atom_site_fract_y
_atom_site_fract_z
_atom_site_occupancy
P1 P 0.0000 0.0630 0.9178 1
Ag1 Ag 0.5000 0.7500 0.7500 1
Te1 Te 0.5000 0.2500 0.2500 1
P2 P 0.0000 0.4370 0.5822 1
```

=====

Entry 4:
DFT (GGA-PBE) results for an optimized crystal structure of AgTe2P.

Values from the calculation:
Density of states at the Fermi level: 0.73 states/eV per atom
Total magnetic moment: 0.00 μB/f.u.
E: -12.191 eV/cell
Formation energy from raw total energies: 0.588 eV per atom

```
data_AgTe2P
_symmetry_space_group_name_H-M 'P 1'
_symmetry_Int_Tables_number 1
_cell_length_a 5.0575
_cell_length_b 5.0575
_cell_length_c 5.0575
_cell_angle_alpha 60.00
_cell_angle_beta 60.00
_cell_angle_gamma 60.00
loop_
_symmetry_equiv_pos_as_xyz
'x,y,z'
loop_
_atom_site_label
_atom_site_type_symbol
_atom_site_fract_x
_atom_site_fract_y
_atom_site_fract_z
_atom_site_occupancy
P1 P 0.7500 0.7500 0.7500 1
Ag1 Ag 0.5000 0.5000 0.5000 1
Te1 Te 0.0000 0.0000 0.0000 1
Te2 Te 0.2500 0.2500 0.2500 1
```

=====

Entry 5:
DFT (GGA-PBE) results for an optimized crystal structure of AgTeP2.

Values from the calculation:
Density of states at the Fermi level: 0.30 states/eV per atom
Total magnetic moment: 0.00 μB/f.u.
E: -16.027 eV/cell
Formation energy from raw total energies: 0.196 eV per atom

```
data_AgTeP2
_symmetry_space_group_name_H-M 'P 1'
_symmetry_Int_Tables_number 1
_cell_length_a 3.1076
_cell_length_b 3.1076
_cell_length_c 9.4925
_cell_angle_alpha 90.00
_cell_angle_beta 90.00
_cell_angle_gamma 90.00
loop_
_symmetry_equiv_pos_as_xyz
'x,y,z'
loop_
_atom_site_label
_atom_site_type_symbol
_atom_site_fract_x
_atom_site_fract_y
_atom_site_fract_z
_atom_site_occupancy
P1 P 0.5000 0.5000 0.0388 1
Te1 Te 0.0000 0.0000 0.5454 1
P2 P 0.0000 0.0000 0.1376 1
Ag1 Ag 0.5000 0.5000 0.7782 1
```

=====

Entry 6:
DFT (GGA-PBE) results for an optimized crystal structure of AgTe2P.

Values from the calculation:
Density of states at the Fermi level: 0.41 states/eV per atom
Total magnetic moment: 0.00 μB/f.u.
E: -13.028 eV/cell
Formation energy from raw total energies: 0.379 eV per atom

```
data_AgTe2P
_symmetry_space_group_name_H-M 'P 1'
_symmetry_Int_Tables_number 1
_cell_length_a 6.0210
_cell_length_b 6.0210
_cell_length_c 6.0210
_cell_angle_alpha 143.07
_cell_angle_beta 93.78
_cell_angle_gamma 97.74
loop_
_symmetry_equiv_pos_as_xyz
'x,y,z'
loop_
_atom_site_label
_atom_site_type_symbol
_atom_site_fract_x
_atom_site_fract_y
_atom_site_fract_z
_atom_site_occupancy
Te1 Te 0.4838 0.4838 0.0000 1
P1 P 0.2500 0.7500 0.5000 1
Te2 Te 0.0162 0.0162 0.0000 1
Ag1 Ag 0.7500 0.2500 0.5000 1
```

=====

Entry 7:
DFT (GGA-PBE) results for an optimized crystal structure of AgTeP.

Values from the calculation:
Density of states at the Fermi level: 0.42 states/eV per atom
Total magnetic moment: 0.00 μB/f.u.
E: -10.599 eV/cell
Formation energy from raw total energies: 0.268 eV per atom
ΔE to the lowest computed polymorph: 0.033 eV/atom

```
data_AgTeP
_symmetry_space_group_name_H-M 'P 1'
_symmetry_Int_Tables_number 1
_cell_length_a 3.8302
_cell_length_b 3.8302
_cell_length_c 5.1302
_cell_angle_alpha 90.00
_cell_angle_beta 90.00
_cell_angle_gamma 120.00
loop_
_symmetry_equiv_pos_as_xyz
'x,y,z'
loop_
_atom_site_label
_atom_site_type_symbol
_atom_site_fract_x
_atom_site_fract_y
_atom_site_fract_z
_atom_site_occupancy
P1 P 0.6667 0.3333 0.3157 1
Ag1 Ag 0.0000 0.0000 0.0323 1
Te1 Te 0.3333 0.6667 0.6520 1
```

=====

Entry 8:
DFT (GGA-PBE) results for an optimized crystal structure of AgTe2P.

Values from the calculation:
Density of states at the Fermi level: 0.61 states/eV per atom
Total magnetic moment: 0.00 μB/f.u.
E: -13.503 eV/cell
Formation energy from raw total energies: 0.260 eV per atom

```
data_AgTe2P
_symmetry_space_group_name_H-M 'P 1'
_symmetry_Int_Tables_number 1
_cell_length_a 8.7440
_cell_length_b 8.7440
_cell_length_c 8.7440
_cell_angle_alpha 24.20
_cell_angle_beta 24.20
_cell_angle_gamma 24.20
loop_
_symmetry_equiv_pos_as_xyz
'x,y,z'
loop_
_atom_site_label
_atom_site_type_symbol
_atom_site_fract_x
_atom_site_fract_y
_atom_site_fract_z
_atom_site_occupancy
Te1 Te 0.0237 0.0237 0.0237 1
P1 P 0.7568 0.7568 0.7568 1
Ag1 Ag 0.4876 0.4876 0.4876 1
Te2 Te 0.2319 0.2319 0.2319 1
```

=====

Entry 9:
DFT (GGA-PBE) results for an optimized crystal structure of AgTeP2.

Values from the calculation:
Density of states at the Fermi level: 0.73 states/eV per atom
Total magnetic moment: 0.00 μB/f.u.
E: -14.145 eV/cell
Formation energy from raw total energies: 0.667 eV per atom

```
data_AgTeP2
_symmetry_space_group_name_H-M 'P 1'
_symmetry_Int_Tables_number 1
_cell_length_a 4.8026
_cell_length_b 4.8026
_cell_length_c 3.3389
_cell_angle_alpha 90.00
_cell_angle_beta 90.00
_cell_angle_gamma 90.00
loop_
_symmetry_equiv_pos_as_xyz
'x,y,z'
loop_
_atom_site_label
_atom_site_type_symbol
_atom_site_fract_x
_atom_site_fract_y
_atom_site_fract_z
_atom_site_occupancy
Te1 Te 0.5000 0.0000 0.5000 1
P1 P 0.0000 0.0000 0.0000 1
P2 P 0.5000 0.5000 0.0000 1
Ag1 Ag 0.0000 0.5000 0.5000 1
```

=====

Entry 10:
DFT (GGA-PBE) results for an optimized crystal structure of AgTeP.

Values from the calculation:
Density of states at the Fermi level: 0.39 states/eV per atom
Total magnetic moment: 0.00 μB/f.u.
E: -10.012 eV/cell
Formation energy from raw total energies: 0.463 eV per atom
ΔE to the lowest computed polymorph: 0.228 eV/atom

```
data_AgTeP
_symmetry_space_group_name_H-M 'P 1'
_symmetry_Int_Tables_number 1
_cell_length_a 8.5066
_cell_length_b 8.5067
_cell_length_c 3.0065
_cell_angle_alpha 79.82
_cell_angle_beta 79.82
_cell_angle_gamma 20.36
loop_
_symmetry_equiv_pos_as_xyz
'x,y,z'
loop_
_atom_site_label
_atom_site_type_symbol
_atom_site_fract_x
_atom_site_fract_y
_atom_site_fract_z
_atom_site_occupancy
Te1 Te 0.3417 0.3417 0.6583 1
Ag1 Ag 0.0321 0.0321 0.9679 1
P1 P 0.6262 0.6262 0.3738 1
```

=====

Entry 11:
DFT (GGA-PBE) results for an optimized crystal structure of AgTeP2.

Values from the calculation:
Density of states at the Fermi level: 0.72 states/eV per atom
Total magnetic moment: 0.00 μB/f.u.
E: -15.435 eV/cell
Formation energy from raw total energies: 0.344 eV per atom

```
data_AgTeP2
_symmetry_space_group_name_H-M 'P 1'
_symmetry_Int_Tables_number 1
_cell_length_a 4.7244
_cell_length_b 4.7202
_cell_length_c 4.7170
_cell_angle_alpha 70.75
_cell_angle_beta 70.15
_cell_angle_gamma 109.31
loop_
_symmetry_equiv_pos_as_xyz
'x,y,z'
loop_
_atom_site_label
_atom_site_type_symbol
_atom_site_fract_x
_atom_site_fract_y
_atom_site_fract_z
_atom_site_occupancy
Ag1 Ag 0.5000 0.5000 0.0000 1
P1 P 0.5000 0.0000 0.5000 1
Te1 Te 0.0000 0.5000 0.5000 1
P2 P 0.0000 0.0000 0.0000 1
```

=====

Entry 12:
DFT (GGA-PBE) results for an optimized crystal structure of Ag12Te3P5.

Values from the calculation:
Density of states at the Fermi level: 0.45 states/eV per atom
Total magnetic moment: 0.00 μB/f.u.
E: -260.483 eV/cell
Formation energy from raw total energies: 0.278 eV per atom

```
data_Ag12Te3P5
_symmetry_space_group_name_H-M 'P 1'
_symmetry_Int_Tables_number 1
_cell_length_a 13.3727
_cell_length_b 13.3727
_cell_length_c 13.3727
_cell_angle_alpha 109.47
_cell_angle_beta 109.47
_cell_angle_gamma 109.47
loop_
_symmetry_equiv_pos_as_xyz
'x,y,z'
loop_
_atom_site_label
_atom_site_type_symbol
_atom_site_fract_x
_atom_site_fract_y
_atom_site_fract_z
_atom_site_occupancy
P1 P 0.3750 0.1250 0.7500 1
Ag1 Ag 0.5396 0.2126 0.1183 1
P2 P 0.1250 0.3750 0.2500 1
Te1 Te 0.6250 0.2500 0.3750 1
P3 P 0.2500 0.8750 0.1250 1
Ag2 Ag 0.9604 0.5787 0.1729 1
P4 P 0.0000 0.0000 0.5000 1
Ag3 Ag 0.3271 0.7874 0.4057 1
Ag4 Ag 0.5787 0.6183 0.4057 1
P5 P 0.6250 0.8750 0.2500 1
Ag5 Ag 0.4213 0.3817 0.5943 1
P6 P 0.0000 0.5000 0.0000 1
Te2 Te 0.3750 0.7500 0.6250 1
Ag6 Ag 0.4057 0.2874 0.3271 1
Ag7 Ag 0.4213 0.0396 0.3271 1
Ag8 Ag 0.5787 0.9604 0.6729 1
Ag9 Ag 0.0943 0.1729 0.2126 1
Ag10 Ag 0.1729 0.0787 0.9604 1
Ag11 Ag 0.1729 0.0943 0.7126 1
Ag12 Ag 0.2874 0.8817 0.9604 1
Ag13 Ag 0.0396 0.6183 0.7126 1
Ag14 Ag 0.2874 0.4057 0.8271 1
Ag15 Ag 0.6729 0.2126 0.5943 1
P7 P 0.3750 0.2500 0.1250 1
Te3 Te 0.2500 0.1250 0.3750 1
Te4 Te 0.8750 0.7500 0.1250 1
Ag16 Ag 0.9213 0.0943 0.8817 1
Ag17 Ag 0.4604 0.6729 0.0787 1
Ag18 Ag 0.3817 0.9604 0.7874 1
Ag19 Ag 0.7126 0.5943 0.1729 1
Ag20 Ag 0.4057 0.1183 0.5787 1
Ag21 Ag 0.9213 0.8271 0.5396 1
P8 P 0.8750 0.2500 0.6250 1
Ag22 Ag 0.8271 0.9057 0.2874 1
P9 P 0.5000 0.5000 0.0000 1
Ag23 Ag 0.0943 0.9213 0.3817 1
Ag24 Ag 0.8817 0.5943 0.9213 1
Ag25 Ag 0.0787 0.9057 0.1183 1
P10 P 0.5000 0.0000 0.0000 1
Te5 Te 0.6250 0.3750 0.7500 1
P11 P 0.1250 0.7500 0.3750 1
Ag26 Ag 0.3271 0.5396 0.4213 1
Ag27 Ag 0.7874 0.3271 0.9057 1
P12 P 0.0000 0.5000 0.5000 1
Te6 Te 0.3750 0.6250 0.2500 1
Ag28 Ag 0.9604 0.3817 0.2874 1
Ag29 Ag 0.5943 0.7126 0.6729 1
P13 P 0.8750 0.6250 0.7500 1
Ag30 Ag 0.3817 0.4213 0.0943 1
P14 P 0.5000 0.0000 0.5000 1
P15 P 0.6250 0.7500 0.8750 1
Ag31 Ag 0.6729 0.4604 0.5787 1
Ag32 Ag 0.4604 0.7874 0.8817 1
Te7 Te 0.2500 0.6250 0.8750 1
P16 P 0.7500 0.1250 0.8750 1
Te8 Te 0.7500 0.3750 0.1250 1
Ag33 Ag 0.9057 0.0787 0.6183 1
Ag34 Ag 0.5943 0.8817 0.4213 1
Ag35 Ag 0.9057 0.8271 0.7874 1
Ag36 Ag 0.0396 0.4213 0.8271 1
P17 P 0.7500 0.6250 0.3750 1
Ag37 Ag 0.2126 0.5396 0.6183 1
Ag38 Ag 0.6183 0.0396 0.2126 1
Ag39 Ag 0.6183 0.5787 0.9057 1
Te9 Te 0.8750 0.1250 0.2500 1
P18 P 0.0000 0.0000 0.0000 1
P19 P 0.2500 0.3750 0.6250 1
Te10 Te 0.1250 0.8750 0.7500 1
Te11 Te 0.1250 0.2500 0.8750 1
Ag40 Ag 0.8271 0.9213 0.0396 1
Ag41 Ag 0.7874 0.4604 0.3817 1
Ag42 Ag 0.1183 0.4057 0.0787 1
Ag43 Ag 0.1183 0.7126 0.5396 1
Ag44 Ag 0.0787 0.1729 0.4604 1
Ag45 Ag 0.8817 0.2874 0.4604 1
P20 P 0.5000 0.5000 0.5000 1
Te12 Te 0.7500 0.8750 0.6250 1
Ag46 Ag 0.5396 0.3271 0.9213 1
Ag47 Ag 0.7126 0.1183 0.0396 1
Ag48 Ag 0.2126 0.6729 0.0943 1
```